(1)
Tb7Pr16Nd6, relaxed, DFT PBE; space group = Fm-3m (225); E_form = 0.20 eV per atom
1.0
9.9223 0.0000 5.7286
3.3074 9.3548 5.7286
0.0000 0.0000 11.4572
Tb Pr Nd
7 16 6
Direct
0.0000 0.0000 0.0000
0.5000 0.0000 0.5000
0.0000 0.5000 0.0000
0.0000 0.5000 0.5000
0.5000 0.0000 0.0000
0.0000 0.0000 0.5000
0.5000 0.5000 0.0000
0.8741 0.8741 0.3777
0.8741 0.8741 0.8741
0.8741 0.3777 0.8741
0.3777 0.8741 0.8741
0.1259 0.1259 0.1259
0.1259 0.1259 0.6223
0.1259 0.6223 0.1259
0.6223 0.1259 0.1259
0.6508 0.6508 0.0476
0.6508 0.6508 0.6508
0.6508 0.0476 0.6508
0.0476 0.6508 0.6508
0.3492 0.3492 0.3492
0.3492 0.3492 0.9524
0.3492 0.9524 0.3492
0.9524 0.3492 0.3492
0.2697 0.7303 0.2697
0.7303 0.2697 0.7303
0.7303 0.2697 0.2697
0.2697 0.7303 0.7303
0.7303 0.7303 0.2697
0.2697 0.2697 0.7303

---

(2)
ScCuSnTe3, relaxed, DFT PBE; space group = P2_1/m (11); formation energy from raw total energies = -585 meV/atom
1.0
-0.5902 2.9923 2.8567
0.9997 -5.8976 6.3842
8.7333 3.3489 -1.7037
Sc Cu Sn Te
2 2 2 6
Direct
0.2500 0.6791 0.1697
0.7500 0.3209 0.8303
0.2500 0.0758 0.5784
0.7500 0.9242 0.4216
0.2500 0.1934 0.2428
0.7500 0.8066 0.7572
0.7500 0.9025 0.1342
0.2500 0.0975 0.8658
0.2500 0.7590 0.4847
0.7500 0.2410 0.5153
0.7500 0.4356 0.1540
0.2500 0.5644 0.8460

---

(3)
U2CS, relaxed, DFT PBE; space group = R3m (160); formation energy from raw total energies = -551 meV/atom
1.0
-0.6013 -3.5722 -0.0616
2.7871 -2.3023 -0.2394
1.1183 -2.1305 6.0928
U C S
2 1 1
Direct
0.1001 0.1001 0.6996
0.2327 0.2327 0.3018
0.4983 0.4983 0.5051
0.6689 0.6689 0.9934

---

(4)
Pr3YEr8, relaxed, DFT PBE; space group = I-42m (121); E_form = 0.64 eV per atom
1.0
7.5804 -0.4258 -3.5585
-4.4148 7.0176 -1.2529
-0.2679 0.4258 8.3698
Pr Y Er
3 1 8
Direct
0.5000 0.7500 0.2500
0.5000 0.2500 0.7500
0.0000 0.5000 0.5000
0.0000 0.0000 0.0000
0.4930 0.2395 0.2395
0.5070 0.7465 0.7465
0.0000 0.7605 0.2535
0.0000 0.2535 0.7605
0.2515 0.3730 0.3730
0.7485 0.1215 0.1215
0.0000 0.6270 0.8785
0.0000 0.8785 0.6270

---

(5)
CdTeI2N, relaxed, DFT PBE; space group = P4/mmm (123); formation energy from raw total energies = 858 meV/atom; energy above the most stable polymorph in this dataset = 256.3 meV/atom
1.0
-1.4707 0.1882 -5.9002
4.7054 -3.6345 -1.2887
-2.4881 -3.4027 0.5117
I N Te Cd
2 1 1 1
Direct
0.0000 0.5000 0.0000
0.5000 0.0000 0.0000
0.0000 0.0000 0.5000
0.5000 0.5000 0.5000
0.0000 0.0000 0.0000

---

(6)
DyHoEr3Sc, relaxed, DFT PBE; space group = C2/m (12); E_form = 0.19 eV per atom
1.0
-3.8950 -2.5458 -2.7438
6.8508 -7.9967 3.0118
-3.7446 -0.0179 5.3323
Dy Ho Er Sc
2 2 6 2
Direct
0.0712 0.1423 0.1986
0.9288 0.8577 0.8014
0.3353 0.6706 0.9613
0.6647 0.3294 0.0387
0.8396 0.6792 0.2357
0.7727 0.5454 0.6885
0.4757 0.9513 0.2369
0.2273 0.4546 0.3115
0.5243 0.0487 0.7631
0.1604 0.3208 0.7643
0.6323 0.2646 0.4714
0.3677 0.7354 0.5286

---

(7)
AsIr3, relaxed, DFT PBE; space group = P2/m (10); energy above the most stable polymorph in this dataset = 146.7 meV/atom; E_form = 0.22 eV per atom
1.0
-3.4406 2.1241 -0.5817
-0.2281 -1.0843 -2.6098
-2.8943 -4.5535 0.4923
As Ir
1 3
Direct
0.0000 0.0000 0.0000
0.5000 0.8739 0.7555
0.0000 0.5000 0.5000
0.5000 0.1261 0.2445

---

(8)
Ti2InGe2, relaxed, DFT PBE; space group = I4/mmm (139); E_form = -0.14 eV per atom
1.0
3.6939 0.0000 0.0000
0.0000 3.6939 0.0000
1.8470 1.8470 6.8382
Ge Ti In
2 2 1
Direct
0.7500 0.2500 0.5000
0.2500 0.7500 0.5000
0.3950 0.3950 0.2101
0.6050 0.6050 0.7899
0.0000 0.0000 0.0000

---

| no. | DFT total energy (eV/atom) | total moment (μB per cell) |
| --- | --- | --- |
| 1 | -4.5444 | 0.00 |
| 2 | -4.5605 | 0.00 |
| 3 | -9.5326 | 0.00 |
| 4 | -4.1384 | 0.00 |
| 5 | -2.2384 | 2.02 |
| 6 | -4.6757 | 0.00 |
| 7 | -7.5843 | 0.00 |
| 8 | -5.6892 | 0.00 |